## Hf2TlHg2 (PBE)

Data for crystalline Hf2TlHg2 at its relaxed geometry.

Cell: 8.481 8.481 3.292 Å, 90.00 90.00 90.00°
Fractional coordinates of all 10 atoms:
Hf 0.125 0.375 0.000
Hf 0.375 0.875 0.000
Hf 0.625 0.125 0.000
Hf 0.875 0.625 0.000
Tl 0.000 0.000 0.000
Tl 0.500 0.500 0.000
Hg 0.172 0.672 0.500
Hg 0.328 0.172 0.500
Hg 0.672 0.828 0.500
Hg 0.828 0.328 0.500

Fermi-level density of states   7.76 states/eV per cell
Distance to the lowest polymorph of the same formula   0.00 kcal/mol of atoms
Volume   236.7 Å³ per cell
Total moment   0.00 μB/atom
Formation enthalpy at 0 K   0.17 eV/atom
SG   P4/mbm (127)
Total DFT energy (no corrections)   -4.40 eV per atom

## HfTl2Hg (PBE)

Data for crystalline HfTl2Hg at its relaxed geometry.

Cell: 5.210 5.210 5.210 Å, 60.00 60.00 60.00°
Fractional coordinates of all 4 atoms:
Hf 0.000 0.000 0.000
Tl 0.250 0.250 0.250
Tl 0.750 0.750 0.750
Hg 0.500 0.500 0.500

Fermi-level density of states   2.70 states/eV per cell
Distance to the lowest polymorph of the same formula   2.03 kcal/mol of atoms
Volume   100.0 Å³ per cell
Total moment   0.00 μB/atom
Formation enthalpy at 0 K   0.42 eV/atom
SG   Fm-3m (225)
Total DFT energy (no corrections)   -3.33 eV per atom

## HfTl3Hg (PBE)

Data for crystalline HfTl3Hg at its relaxed geometry.

Cell: 5.558 5.558 5.558 Å, 90.00 90.00 90.00°
Fractional coordinates of all 5 atoms:
Hf 0.000 0.000 0.000
Tl 0.000 0.500 0.500
Tl 0.500 0.000 0.500
Tl 0.500 0.500 0.000
Hg 0.500 0.500 0.500

Fermi-level density of states   3.78 states/eV per cell
Distance to the lowest polymorph of the same formula   10.35 kcal/mol of atoms
Volume   171.7 Å³ per cell
Total moment   0.00 μB/atom
Formation enthalpy at 0 K   0.98 eV/atom
SG   Pm-3m (221)
Total DFT energy (no corrections)   -2.49 eV per atom

## HfTl2Hg (PBE)

Data for crystalline HfTl2Hg at its relaxed geometry.

Cell: 6.524 6.524 6.524 Å, 103.25 103.25 122.80°
Fractional coordinates of all 8 atoms:
Hf 0.000 0.000 0.000
Hf 0.750 0.250 0.500
Tl 0.130 0.625 0.005
Tl 0.375 0.380 0.505
Tl 0.620 0.125 0.995
Tl 0.875 0.870 0.495
Hg 0.250 0.750 0.500
Hg 0.500 0.500 0.000

Fermi-level density of states   3.06 states/eV per cell
Distance to the lowest polymorph of the same formula   1.22 kcal/mol of atoms
Volume   204.9 Å³ per cell
Total moment   0.00 μB/atom
Formation enthalpy at 0 K   0.38 eV/atom
SG   I-42d (122)
Total DFT energy (no corrections)   -3.36 eV per atom